Compound: K2YAlCd
Source: Alexandria via LeMat-Bulk
Functional: meta-GGA SCAN
Structure: single point on PBEsol structure

Cell and atoms, written as CIF:
```
data_K2YAlCd
_chemical_formula_sum 'K2 Y1 Al1 Cd1'
_symmetry_space_group_name_H-M 'P 1'
_symmetry_Int_Tables_number 1
_symmetry_space_group_name_Hall 'P 1'
_cell_length_a 6.306
_cell_length_b 6.306
_cell_length_c 4.979
_cell_angle_alpha 90.00
_cell_angle_beta 90.00
_cell_angle_gamma 90.00
loop_
_atom_site_label
_atom_site_type_symbol
_atom_site_fract_x
_atom_site_fract_y
_atom_site_fract_z
K1 K 0.000 0.500 0.000
K2 K 0.500 0.000 0.000
Y1 Y 0.000 0.000 0.500
Al1 Al 0.500 0.500 0.000
Cd1 Cd 0.500 0.500 0.500
```

Its calculated formation energy is 0.68 eV per atom. The mass density comes out at 2.57 g/cm3. The uncorrected energy is -79.27 eV/f.u. As for the space-group type: P4/mmm, No. 123. The magnetic moment comes out at 0.000 μB/atom. The value obtained for the calculated volume is 197.99 Å³/cell.